Material: Pm6SmDyTh2
Method: DFT, PBE
State: relaxed

Cell: 9.036 14.983 10.349 Å, 90.00 103.03 90.00°
Space group C2/c (No. 15)
Symmetry-distinct sites (fractional):
Pm  0.076  0.185  0.450 (multiplicity 8)
Pm  0.091  0.400  0.617 (multiplicity 8)
Pm  0.206  0.223  0.825 (multiplicity 8)
Sm  0.000  0.009  0.750 (multiplicity 4)
Dy  0.000  0.404  0.250 (multiplicity 4)
Th  0.225  0.044  0.042 (multiplicity 8)

DOS(E_F), states/eV/f.u.: 15.099
Formation energy, eV/atom: 0.15
Total DFT energy (no corrections), eV per atom: -5.114